# 1
{"formula": "Ti2ZnRu", "functional": "PBE", "state": "optimized geometry", "formation_enthalpy_0k_ev_per_atom": -0.460, "magnetic_moment_mub_per_fu": 0.00, "lattice": [[-2.198, -2.184, 0.134], [0.876, -1.052, -2.783], [4.060, -3.918, 2.758]], "species": ["Ru", "Zn", "Ti", "Ti"], "frac_coords": [[0.500, 0.500, 0.000], [0.500, 0.500, 0.500], [0.000, 0.000, 0.241], [0.000, 0.000, 0.759]]}


# 2
{"formula": "ZrTl2Fe", "functional": "PBE", "state": "optimized geometry", "formation_enthalpy_0k_ev_per_atom": 0.247, "magnetic_moment_mub_per_fu": 2.78, "relative_energy_ev_per_atom": 0.053, "lattice": [[4.377, 0.000, 0.000], [0.000, 4.377, 0.000], [0.000, 0.000, 4.344]], "species": ["Tl", "Tl", "Fe", "Zr"], "frac_coords": [[0.500, 0.500, 0.000], [0.000, 0.000, 0.000], [0.000, 0.500, 0.500], [0.500, 0.000, 0.500]]}


# 3
{"formula": "Cd4InAu5", "functional": "PBE", "state": "optimized geometry", "formation_enthalpy_0k_ev_per_atom": -0.160, "magnetic_moment_mub_per_fu": 0.00, "relative_energy_ev_per_atom": 0.000, "lattice": [[-2.934, 0.208, 1.946], [-1.956, -0.431, -2.903], [0.301, -15.738, 2.134]], "species": ["Au", "Au", "Au", "Au", "Au", "Cd", "Cd", "Cd", "Cd", "In"], "frac_coords": [[0.500, 0.500, 0.103], [0.500, 0.500, 0.301], [0.500, 0.500, 0.699], [0.500, 0.500, 0.897], [0.500, 0.500, 0.500], [0.000, 0.000, 0.400], [0.000, 0.000, 0.202], [0.000, 0.000, 0.798], [0.000, 0.000, 0.600], [0.000, 0.000, 0.000]]}


# 4
{"formula": "AsP2RuO", "functional": "PBE", "state": "optimized geometry", "formation_energy_uncorrected_ev_per_atom": 0.176, "magnetic_moment_mub_per_fu": 0.00, "relative_energy_ev_per_atom": 0.000, "lattice": [[-3.904, 2.368, -1.320], [0.313, -1.905, -4.343], [-2.079, -2.821, 1.087]], "species": ["P", "P", "As", "O", "Ru"], "frac_coords": [[0.000, 0.500, 0.000], [0.500, 0.000, 0.000], [0.500, 0.500, 0.500], [0.000, 0.000, 0.500], [0.000, 0.000, 0.000]]}


no.,raw total energy (eV per atom)
1,-7.0448
2,-5.1889
3,-2.4389
4,-5.7645